This record from the Alexandria database describes Cs2TlCo2F7 after structural relaxation. The functional is PBE+U.

Lattice parameters (Å, degrees): 4.272 4.272 11.983 100.21 100.21 90.00
Element x y z (fractional)
Cs 0.185 0.185 0.367
Cs 0.815 0.815 0.633
Tl 0.000 0.000 0.000
Co 0.411 0.411 0.822
Co 0.589 0.589 0.178
F 0.090 0.590 0.179
F 0.324 0.324 0.646
F 0.410 0.910 0.821
F 0.500 0.500 0.000
F 0.590 0.090 0.179
F 0.676 0.676 0.354
F 0.910 0.410 0.821

Values from the calculation:
SG: C2/m, No. 12
Uncorrected energy in eV/cell: -54.78